1.
The following is a PBE calculation of crystalline NdEuZn4 at its relaxed geometry, from the Alexandria database.

The space group is F-43m (No. 216) and the conventional cell measures 7.937, 7.937 and 7.937 Å, with angles of 90.00, 90.00 and 90.00 degrees. Symmetry generates all atoms from Nd at (0.000, 0.000, 0.000), Eu at (0.250, 0.250, 0.750) and Zn at (0.126, 0.126, 0.374).

For the total magnetization, the calculation gives 1.164 μB per atom. The value obtained for the calculated formation energy is -0.274 eV per atom. As for the density of states at the Fermi level: 0.90 states/eV/atom.

2.
The following is a PBE calculation of crystalline K2CaCl at its relaxed geometry, from the Alexandria database.

The space group is Fm-3m (No. 225) and the conventional cell measures 9.245, 9.245 and 9.245 Å, with angles of 90.00, 90.00 and 90.00 degrees. Symmetry generates all atoms from K at (0.250, 0.250, 0.250), Ca at (0.000, 0.000, 0.000) and Cl at (0.000, 0.000, 0.500).

For the total magnetization, the calculation gives 0.163 μB per atom. For the energy relative to the elements, uncorrected, the calculation gives -0.31 eV per atom. The calculation puts the relative energy among the computed polymorphs at 543.1 meV per atom. As for the density of states at the Fermi level: 1.37 states/eV/atom.